Density functional theory data (PBE) for a geometry-optimized CsSbNO2 structure.

a = 4.400 Å, b = 4.400 Å, c = 4.765 Å
α = 90.00°, β = 90.00°, γ = 90.00°
Sites, in units of the cell vectors:
Cs  0.000  0.000  0.000
Sb  0.500  0.500  0.500
O  0.000  0.500  0.000
O  0.500  0.000  0.000
N  0.000  0.000  0.500

Its density of states at the Fermi level is 0.40 states/eV per atom.


Density functional theory data (PBE) for a geometry-optimized CsSbN2O structure.

a = 4.484 Å, b = 4.484 Å, c = 4.327 Å
α = 90.00°, β = 90.00°, γ = 90.00°
Sites, in units of the cell vectors:
Cs  0.000  0.000  0.000
Sb  0.500  0.500  0.500
O  0.000  0.000  0.500
N  0.000  0.500  0.000
N  0.500  0.000  0.000

Its density of states at the Fermi level is 0.47 states/eV per atom.


Density functional theory data (PBE) for a geometry-optimized CsSbN2O structure.

a = 4.352 Å, b = 4.352 Å, c = 4.228 Å
α = 90.00°, β = 90.00°, γ = 90.00°
Each line ends with the local moment (μB).
Sites, in units of the cell vectors:
Cs  0.500  0.500  0.500  0.09
Sb  0.000  0.000  0.000  -0.04
O  0.000  0.000  0.500  0.11
N  0.000  0.500  0.000  0.71
N  0.500  0.000  0.000  0.71

Its density of states at the Fermi level is 0.58 states/eV per atom.


Density functional theory data (PBE) for a geometry-optimized CsScN2O structure.

a = 4.633 Å, b = 4.633 Å, c = 4.148 Å
α = 90.00°, β = 90.00°, γ = 90.00°
Each line ends with the local moment (μB).
Sites, in units of the cell vectors:
Cs  0.500  0.500  0.500  0.10
Sc  0.000  0.000  0.000  -0.08
O  0.000  0.000  0.500  0.32
N  0.000  0.500  0.000  1.18
N  0.500  0.000  0.000  1.18

Its density of states at the Fermi level is 0.37 states/eV per atom.


Density functional theory data (PBE) for a geometry-optimized CsScN2O structure.

a = 4.381 Å, b = 4.381 Å, c = 4.315 Å
α = 90.00°, β = 90.00°, γ = 90.00°
Sites, in units of the cell vectors:
Cs  0.000  0.000  0.000
Sc  0.500  0.500  0.500
O  0.000  0.000  0.500
N  0.000  0.500  0.000
N  0.500  0.000  0.000

Its density of states at the Fermi level is 0.35 states/eV per atom.


Density functional theory data (PBE) for a geometry-optimized CsSeNO2 structure.

a = 4.410 Å, b = 4.410 Å, c = 6.088 Å
α = 90.00°, β = 90.00°, γ = 90.00°
Each line ends with the local moment (μB).
Sites, in units of the cell vectors:
Cs  0.000  0.000  0.000  -0.07
O  0.000  0.500  0.000  -0.36
O  0.500  0.000  0.000  -0.36
Se  0.500  0.500  0.500  -0.92
N  0.000  0.000  0.500  1.62

Its density of states at the Fermi level is 0.63 states/eV per atom.


Density functional theory data (PBE) for a geometry-optimized CsSeN2O structure.

a = 4.586 Å, b = 4.586 Å, c = 4.216 Å
α = 90.00°, β = 90.00°, γ = 90.00°
Each line ends with the local moment (μB).
Sites, in units of the cell vectors:
Cs  0.000  0.000  0.000  0.01
O  0.000  0.000  0.500  -0.07
Se  0.500  0.500  0.500  -0.18
N  0.000  0.500  0.000  0.25
N  0.500  0.000  0.000  0.25

Its density of states at the Fermi level is 0.81 states/eV per atom.


Density functional theory data (PBE) for a geometry-optimized CsSeNO2 structure.

a = 4.138 Å, b = 4.138 Å, c = 4.441 Å
α = 90.00°, β = 90.00°, γ = 90.00°
Each line ends with the local moment (μB).
Sites, in units of the cell vectors:
Cs  0.500  0.500  0.500  0.10
O  0.000  0.500  0.000  0.11
O  0.500  0.000  0.000  0.11
Se  0.000  0.000  0.000  -0.03
N  0.000  0.000  0.500  1.07

Its density of states at the Fermi level is 0.35 states/eV per atom.


| no. | ΔE_f (raw) (kJ per mole of atoms) |
| --- | --- |
| 1 | 136 |
| 2 | 205 |
| 3 | 49 |
| 4 | -16 |
| 5 | 149 |
| 6 | 170 |
| 7 | 252 |
| 8 | 27 |